Material: La6HgRu3
Method: DFT, PBE-GGA
State: relaxed

Structure (CIF):
```
data_La6HgRu3
_cell_length_a 12.151
_cell_length_b 4.203
_cell_length_c 12.341
_cell_angle_alpha 90.00
_cell_angle_beta 108.63
_cell_angle_gamma 90.00
_symmetry_space_group_name_H-M 'P 1 21/m 1'
_symmetry_Int_Tables_number 11
loop_
_symmetry_equiv_pos_as_xyz
'x,y,z'
'-x,-y,-z'
'-x,y+1/2,-z'
'x,-y+1/2,z'
loop_
_atom_site_label
_atom_site_fract_x
_atom_site_fract_y
_atom_site_fract_z
La1 0.030 0.250 0.392
La2 0.112 0.250 0.952
La3 0.202 0.750 0.261
La4 0.274 0.750 0.769
La5 0.351 0.250 0.539
La6 0.430 0.750 0.090
Hg1 0.442 0.250 0.305
Ru1 0.041 0.250 0.173
Ru2 0.192 0.750 0.508
Ru3 0.339 0.250 0.919
```

Output
As for the density of states at the Fermi level: 14.6 states/eV per cell. Its spin magnetization is 0.0 μB per formula unit. As for the formation energy: -303 meV/atom.



Material: LaHgRu3
Method: DFT, PBE-GGA
State: relaxed

Structure (CIF):
```
data_LaHgRu3
_cell_length_a 4.978
_cell_length_b 4.978
_cell_length_c 4.978
_cell_angle_alpha 90.00
_cell_angle_beta 90.00
_cell_angle_gamma 90.00
_symmetry_space_group_name_H-M 'P m -3 m'
_symmetry_Int_Tables_number 221
_symmetry_space_group_name_Hall '-P 4 2 3'
loop_
_atom_site_label
_atom_site_fract_x
_atom_site_fract_y
_atom_site_fract_z
La1 0.000 0.000 0.000
Hg1 0.500 0.500 0.500
Ru1 0.000 0.500 0.500
```

Output
As for the density of states at the Fermi level: 8.4 states/eV per cell. The energy relative to the lowest polymorph listed for this composition comes out at 0.0000 eV/atom. Its spin magnetization is 4.2 μB per formula unit. As for the formation energy: 1451 meV/atom.



Material: La3HgRu
Method: DFT, PBE-GGA
State: relaxed

Structure (CIF):
```
data_La3HgRu
_cell_length_a 6.777
_cell_length_b 9.950
_cell_length_c 8.506
_cell_angle_alpha 90.00
_cell_angle_beta 90.00
_cell_angle_gamma 90.00
_symmetry_space_group_name_H-M 'P n m a'
_symmetry_Int_Tables_number 62
loop_
_symmetry_equiv_pos_as_xyz
'x,y,z'
'-x,-y,-z'
'-x+1/2,-y,z+1/2'
'x+1/2,y,-z+1/2'
'x+1/2,-y+1/2,-z+1/2'
'-x+1/2,y+1/2,z+1/2'
'-x,y+1/2,-z'
'x,-y+1/2,z'
loop_
_atom_site_label
_atom_site_fract_x
_atom_site_fract_y
_atom_site_fract_z
La1 0.075 0.054 0.196
La2 0.174 0.750 0.399
Hg1 0.217 0.750 0.001
Ru1 0.000 0.000 0.500
```

Output
As for the density of states at the Fermi level: 16.5 states/eV per cell. The energy relative to the lowest polymorph listed for this composition comes out at 0.0612 eV/atom. Its spin magnetization is 0.0 μB per formula unit. As for the formation energy: -320 meV/atom.



Material: La3HgRu
Method: DFT, PBE-GGA
State: relaxed

Structure (CIF):
```
data_La3HgRu
_cell_length_a 4.705
_cell_length_b 7.270
_cell_length_c 8.988
_cell_angle_alpha 90.00
_cell_angle_beta 90.00
_cell_angle_gamma 90.00
_symmetry_space_group_name_H-M 'P m m n'
_symmetry_Int_Tables_number 59
loop_
_symmetry_equiv_pos_as_xyz
'x,y,z'
'-x,-y,-z'
'-x+1/2,-y+1/2,z'
'x+1/2,y+1/2,-z'
'x+1/2,-y,-z'
'-x+1/2,y,z'
'-x,y+1/2,-z'
'x,-y+1/2,z'
loop_
_atom_site_label
_atom_site_fract_x
_atom_site_fract_y
_atom_site_fract_z
La1 0.250 0.003 0.152
La2 0.250 0.250 0.581
Hg1 0.250 0.750 0.668
Ru1 0.250 0.250 0.880
```

Output
As for the density of states at the Fermi level: 13.6 states/eV per cell. The energy relative to the lowest polymorph listed for this composition comes out at 0.0634 eV/atom. Its spin magnetization is 0.0 μB per formula unit. As for the formation energy: -318 meV/atom.



Material: La3HgRu
Method: DFT, PBE-GGA
State: relaxed

Structure (CIF):
```
data_La3HgRu
_cell_length_a 5.0172
_cell_length_b 5.0172
_cell_length_c 16.0412
_cell_angle_alpha 90.00
_cell_angle_beta 90.00
_cell_angle_gamma 120.00
_symmetry_space_group_name_H-M 'P 63/m m c'
_symmetry_Int_Tables_number 194
_symmetry_space_group_name_Hall '-P 6c 2c'
loop_
_atom_site_label
_atom_site_fract_x
_atom_site_fract_y
_atom_site_fract_z
La1 0.0000 0.0000 0.2500
La2 0.3333 0.6667 0.0849
Hg1 0.0000 0.0000 0.0000
Ru1 0.3333 0.6667 0.2500
```

Output
As for the density of states at the Fermi level: 15.6 states/eV per cell. The energy relative to the lowest polymorph listed for this composition comes out at 0.2777 eV/atom. Its spin magnetization is 0.0 μB per formula unit. As for the formation energy: -103 meV/atom.



Material: LaHgRu3
Method: DFT, PBE-GGA
State: relaxed

Structure (CIF):
```
data_LaHgRu3
_cell_length_a 4.894
_cell_length_b 4.894
_cell_length_c 4.894
_cell_angle_alpha 90.00
_cell_angle_beta 90.00
_cell_angle_gamma 90.00
_symmetry_space_group_name_H-M 'P m -3 m'
_symmetry_Int_Tables_number 221
_symmetry_space_group_name_Hall '-P 4 2 3'
loop_
_atom_site_label
_atom_site_fract_x
_atom_site_fract_y
_atom_site_fract_z
La1 0.000 0.000 0.000
Hg1 0.500 0.500 0.500
Ru1 0.000 0.000 0.500
```

Output
As for the density of states at the Fermi level: 6.8 states/eV per cell. The energy relative to the lowest polymorph listed for this composition comes out at 0.2903 eV/atom. Its spin magnetization is 3.9 μB per formula unit. As for the formation energy: 1741 meV/atom.



Material: La3HgRu
Method: DFT, PBE-GGA
State: relaxed

Structure (CIF):
```
data_La3HgRu
_cell_length_a 11.797
_cell_length_b 4.738
_cell_length_c 11.095
_cell_angle_alpha 90.00
_cell_angle_beta 102.72
_cell_angle_gamma 90.00
_symmetry_space_group_name_H-M 'C 1 2/m 1'
_symmetry_Int_Tables_number 12
loop_
_symmetry_equiv_pos_as_xyz
'x,y,z'
'-x,-y,-z'
'-x,y,-z'
'x,-y,z'
'x+1/2,y+1/2,z'
'-x+1/2,-y+1/2,-z'
'-x+1/2,y+1/2,-z'
'x+1/2,-y+1/2,z'
loop_
_atom_site_label
_atom_site_fract_x
_atom_site_fract_y
_atom_site_fract_z
La1 0.105 0.000 0.190
La2 0.127 0.500 0.903
La3 0.144 0.000 0.608
Hg1 0.066 0.500 0.383
Ru1 0.237 0.500 0.164
```

Output
As for the density of states at the Fermi level: 19.6 states/eV per cell. The energy relative to the lowest polymorph listed for this composition comes out at 0.0323 eV/atom. Its spin magnetization is 0.0 μB per formula unit. As for the formation energy: -349 meV/atom.



Material: LaHgRu2
Method: DFT, PBE-GGA
State: relaxed

Structure (CIF):
```
data_LaHgRu2
_cell_length_a 3.349
_cell_length_b 5.297
_cell_length_c 8.663
_cell_angle_alpha 90.00
_cell_angle_beta 90.00
_cell_angle_gamma 90.00
_symmetry_space_group_name_H-M 'C m m m'
_symmetry_Int_Tables_number 65
_symmetry_space_group_name_Hall '-C 2 2'
loop_
_atom_site_label
_atom_site_fract_x
_atom_site_fract_y
_atom_site_fract_z
La1 0.000 0.000 0.000
Hg1 0.000 0.000 0.500
Ru1 0.000 0.500 0.242
```

Output
As for the density of states at the Fermi level: 8.7 states/eV per cell. Its spin magnetization is 0.0 μB per formula unit. As for the formation energy: 450 meV/atom.



Material: La3HgRu
Method: DFT, PBE-GGA
State: relaxed

Structure (CIF):
```
data_La3HgRu
_cell_length_a 12.330
_cell_length_b 5.045
_cell_length_c 9.575
_cell_angle_alpha 90.00
_cell_angle_beta 92.11
_cell_angle_gamma 90.00
_symmetry_space_group_name_H-M 'C 1 2/m 1'
_symmetry_Int_Tables_number 12
loop_
_symmetry_equiv_pos_as_xyz
'x,y,z'
'-x,-y,-z'
'-x,y,-z'
'x,-y,z'
'x+1/2,y+1/2,z'
'-x+1/2,-y+1/2,-z'
'-x+1/2,y+1/2,-z'
'x+1/2,-y+1/2,z'
loop_
_atom_site_label
_atom_site_fract_x
_atom_site_fract_y
_atom_site_fract_z
La1 0.047 0.000 0.290
La2 0.152 0.500 0.544
La3 0.239 0.500 0.143
Hg1 0.065 0.500 0.869
Ru1 0.103 0.000 0.032
```

Output
As for the density of states at the Fermi level: 22.2 states/eV per cell. The energy relative to the lowest polymorph listed for this composition comes out at 0.2183 eV/atom. Its spin magnetization is 0.0 μB per formula unit. As for the formation energy: -163 meV/atom.



Material: La4Hg2Ru
Method: DFT, PBE-GGA
State: relaxed

Structure (CIF):
```
data_La4Hg2Ru
_cell_length_a 6.479
_cell_length_b 6.838
_cell_length_c 9.985
_cell_angle_alpha 90.00
_cell_angle_beta 103.18
_cell_angle_gamma 90.00
_symmetry_space_group_name_H-M 'P 1 21/m 1'
_symmetry_Int_Tables_number 11
loop_
_symmetry_equiv_pos_as_xyz
'x,y,z'
'-x,-y,-z'
'-x,y+1/2,-z'
'x,-y+1/2,z'
loop_
_atom_site_label
_atom_site_fract_x
_atom_site_fract_y
_atom_site_fract_z
La1 0.191 0.250 0.100
La2 0.238 0.502 0.749
La3 0.304 0.750 0.413
Hg1 0.167 0.250 0.449
Hg2 0.369 0.750 0.043
Ru1 0.027 0.750 0.171
```

Output
As for the density of states at the Fermi level: 17.0 states/eV per cell. The energy relative to the lowest polymorph listed for this composition comes out at 0.0695 eV/atom. Its spin magnetization is 0.0 μB per formula unit. As for the formation energy: -329 meV/atom.



Material: La3HgRu
Method: DFT, PBE-GGA
State: relaxed

Structure (CIF):
```
data_La3HgRu
_cell_length_a 6.659
_cell_length_b 16.468
_cell_length_c 6.139
_cell_angle_alpha 90.00
_cell_angle_beta 90.00
_cell_angle_gamma 90.00
_symmetry_space_group_name_H-M 'C m c m'
_symmetry_Int_Tables_number 63
_symmetry_space_group_name_Hall '-C 2c 2'
loop_
_atom_site_label
_atom_site_fract_x
_atom_site_fract_y
_atom_site_fract_z
La1 0.000 0.000 0.000
La2 0.241 0.343 0.250
Hg1 0.000 0.174 0.250
Ru1 0.000 0.460 0.250
```

Output
As for the density of states at the Fermi level: 23.7 states/eV per cell. The energy relative to the lowest polymorph listed for this composition comes out at 0.6090 eV/atom. Its spin magnetization is 0.0 μB per formula unit. As for the formation energy: 228 meV/atom.



Material: LaHg2Ru
Method: DFT, PBE-GGA
State: relaxed

Structure (CIF):
```
data_LaHg2Ru
_cell_length_a 3.856
_cell_length_b 5.422
_cell_length_c 8.943
_cell_angle_alpha 90.00
_cell_angle_beta 90.00
_cell_angle_gamma 90.00
_symmetry_space_group_name_H-M 'I m m 2'
_symmetry_Int_Tables_number 44
loop_
_symmetry_equiv_pos_as_xyz
'x,y,z'
'-x,-y,z'
'-x,y,z'
'x,-y,z'
'x+1/2,y+1/2,z+1/2'
'-x+1/2,-y+1/2,z+1/2'
'-x+1/2,y+1/2,z+1/2'
'x+1/2,-y+1/2,z+1/2'
loop_
_atom_site_label
_atom_site_fract_x
_atom_site_fract_y
_atom_site_fract_z
La1 0.000 0.000 0.000
Hg1 0.000 0.000 0.429
Hg2 0.000 0.500 0.205
Ru1 0.000 0.500 0.696
```

Output
As for the density of states at the Fermi level: 6.9 states/eV per cell. Its spin magnetization is 0.0 μB per formula unit. As for the formation energy: 33 meV/atom.